[1]
! HgClO (GGA-PBE, relaxed); values from VASP
! * space-group type: C2/m
! * formation energy (no corrections): -315 meV per atom
&SYSTEM
  ibrav = 0, nat = 6, ntyp = 3
/
ATOMIC_SPECIES
Hg 200.59 Hg.upf
Cl 35.45 Cl.upf
O 16.00 O.upf
ATOMIC_POSITIONS angstrom
Hg 2.2062 2.2549 5.7753
Hg 0.8316 0.8480 4.0690
Cl 3.8359 3.9197 3.3082
Cl -0.7981 -0.8168 6.5360
O 1.2732 1.3020 9.2725
O 1.7646 1.8009 0.5718
CELL_PARAMETERS angstrom
4.4081 0.0210 0.3564
-0.0760 4.4089 0.3528
-1.2943 -1.3270 9.1350

---

[2]
! Li3Pm2Ag5 (GGA-PBE, relaxed); values from VASP
! * space-group type: Ibam
! * energy of formation: -0.16 eV/atom
&SYSTEM
  ibrav = 0, nat = 20, ntyp = 3
/
ATOMIC_SPECIES
Li 6.94 Li.upf
Pm 145.00 Pm.upf
Ag 107.87 Ag.upf
ATOMIC_POSITIONS angstrom
Li 1.1143 6.6781 7.6379
Li -1.2102 9.4673 7.6819
Li -1.2270 6.2139 4.2644
Li 1.0975 3.4246 4.2205
Li -0.1741 1.5029 -0.0860
Li -0.5224 4.5087 -0.2580
Pm -2.2329 3.0606 4.6014
Pm 2.1069 6.5802 3.9172
Pm 2.1202 9.8314 7.3010
Pm -2.2196 6.3117 7.9852
Ag 3.4910 6.9041 6.7752
Ag -3.7083 9.1590 7.3517
Ag -3.6037 5.9879 5.1272
Ag 3.5956 3.7329 4.5507
Ag 0.1373 8.1984 9.4814
Ag -0.2499 4.6936 2.4210
Ag -0.2305 7.9489 5.8652
Ag 0.1178 4.9431 6.0372
Ag 0.0983 1.6877 2.5929
Ag -0.2110 11.2042 9.3094
CELL_PARAMETERS angstrom
-0.6965 6.0117 -0.3440
-5.0310 2.8567 6.7047
5.6148 4.0236 5.5416

---

[3]
! Hf5Os4Au (GGA-PBE, relaxed); values from VASP
! * space-group type: P4/mmm
! * energy of formation: -0.65 eV/atom
&SYSTEM
  ibrav = 0, nat = 10, ntyp = 3
/
ATOMIC_SPECIES
Hf 178.49 Hf.upf
Os 190.23 Os.upf
Au 196.97 Au.upf
ATOMIC_POSITIONS angstrom
Hf -2.0576 -0.0574 2.1336
Hf -2.0152 -1.6072 5.0479
Hf -1.9729 -3.1470 7.9433
Hf -1.9307 -4.6869 10.8388
Hf -1.8882 -6.2367 13.7531
Os 0.0454 -1.6553 3.1125
Os 0.0878 -3.2043 6.0253
Os 0.1301 -4.7442 8.9209
Os 0.1725 -6.2932 11.8336
Au 0.0000 0.0000 0.0000
CELL_PARAMETERS angstrom
-1.1308 2.6712 1.4371
-3.0330 -1.0168 -0.4965
0.2179 -7.9485 14.9461

---

[4]
! Pu2TlHg4 (GGA-PBE, relaxed); values from VASP
! * space-group type: I4/mmm
! * energy of formation: 0.06 eV/atom
&SYSTEM
  ibrav = 0, nat = 7, ntyp = 3
/
ATOMIC_SPECIES
Pu 244.00 Pu.upf
Tl 204.38 Tl.upf
Hg 200.59 Hg.upf
ATOMIC_POSITIONS angstrom
Pu 1.9456 1.6399 2.3786
Pu -0.4071 8.7800 0.9196
Tl 0.0000 0.0000 0.0000
Hg -0.1435 3.0951 0.3242
Hg 1.6820 7.3247 2.9740
Hg -0.3270 5.0539 2.6534
Hg 1.8655 5.3659 0.6448
CELL_PARAMETERS angstrom
-0.1646 -0.4477 4.2011
4.2204 0.1764 0.1841
-2.5174 10.6911 -1.0871

---

[5]
! SmMg2InPd4 (GGA-PBE, relaxed); values from VASP
! * space-group type: R-3m
! * energy of formation: -0.69 eV/atom
&SYSTEM
  ibrav = 0, nat = 8, ntyp = 4
/
ATOMIC_SPECIES
Sm 150.36 Sm.upf
Mg 24.30 Mg.upf
In 114.82 In.upf
Pd 106.42 Pd.upf
ATOMIC_POSITIONS angstrom
Sm 0.0000 0.0000 0.0000
Mg 7.0592 4.0756 5.6919
Mg 2.3531 1.3586 2.0210
In 4.7062 2.7171 3.8564
Pd 4.7062 2.7171 6.5806
Pd 7.0592 4.0756 2.9317
Pd 2.3531 1.3586 4.7812
Pd 4.7062 2.7171 1.1323
CELL_PARAMETERS angstrom
4.7062 0.0000 0.0000
2.3531 4.0756 0.0000
2.3531 1.3585 7.7128

---

[6]
! TlRe2 (GGA-PBE, relaxed); values from VASP
! * energy above the most stable polymorph in this dataset: 724 meV/atom
! * space-group type: I4_1/amd
! * energy of formation: 1.27 eV/atom
&SYSTEM
  ibrav = 0, nat = 6, ntyp = 2
/
ATOMIC_SPECIES
Tl 204.38 Tl.upf
Re 186.21 Re.upf
ATOMIC_POSITIONS angstrom
Tl 0.0000 0.0000 0.0000
Tl 1.5960 2.5680 3.1186
Re 0.6755 7.8590 4.2436
Re -1.3238 1.7570 2.4367
Re 0.4862 5.6569 3.0545
Re -1.1345 3.9591 3.6257
CELL_PARAMETERS angstrom
3.4060 6.4679 3.7364
-2.2443 7.0479 3.5617
-0.7949 -8.0898 -1.1484

---

[7]
! La2P3Au2 (GGA-PBE, relaxed); values from VASP
! * space-group type: C2/m
! * energy of formation: -0.94 eV/atom
&SYSTEM
  ibrav = 0, nat = 14, ntyp = 3
/
ATOMIC_SPECIES
La 138.91 La.upf
P 30.97 P.upf
Au 196.97 Au.upf
ATOMIC_POSITIONS angstrom
La -3.7224 0.0294 1.5315
La -11.0569 -3.3644 0.9908
La -8.8449 -0.1705 5.1259
La -5.9345 -3.1645 -2.6035
P -10.8887 -5.0498 3.6318
P -3.8906 1.7148 -1.1095
P -4.1596 -2.5153 -0.2763
P -10.6197 -0.8197 2.7986
P -8.1334 -3.5685 0.5931
P -6.6459 0.2335 1.9293
Au -5.7471 -0.7539 4.0670
Au -9.0323 -2.5811 -1.5446
Au -8.5269 -2.1910 2.6026
Au -6.2524 -1.1441 -0.0802
CELL_PARAMETERS angstrom
-3.2212 1.9523 -1.9691
-4.9000 -5.9932 -2.5133
-6.6581 0.7060 7.0047

---

[8]
! HoRuC (GGA-PBE, relaxed); values from VASP
! * energy above the most stable polymorph in this dataset: 36 meV/atom
! * space-group type: P3m1
! * energy of formation: -0.19 eV/atom
&SYSTEM
  ibrav = 0, nat = 3, ntyp = 3
/
ATOMIC_SPECIES
Ru 101.07 Ru.upf
C 12.01 C.upf
Ho 164.93 Ho.upf
ATOMIC_POSITIONS angstrom
Ru -0.9367 1.3886 1.3813
C -0.2969 -0.0071 0.0189
Ho -3.3404 -0.5189 2.0990
CELL_PARAMETERS angstrom
-4.7539 -0.1135 0.3022
0.2095 -2.2841 2.4382
-0.0296 3.2602 0.7588

---

[9]
! HoCu2Cl8 (GGA-PBE, relaxed); values from VASP
! * space-group type: I422
! * formation energy (no corrections): -997 meV per atom
&SYSTEM
  ibrav = 0, nat = 11, ntyp = 3
/
ATOMIC_SPECIES
Ho 164.93 Ho.upf
Cu 63.55 Cu.upf
Cl 35.45 Cl.upf
ATOMIC_POSITIONS angstrom
Ho 3.3362 3.3362 0.0000
Cu 3.3362 0.0000 2.9383
Cu 0.0000 3.3362 2.9383
Cl 4.4433 1.1953 1.3821
Cl -2.1409 1.1071 4.4946
Cl 2.1409 -1.1071 4.4946
Cl -1.1071 -2.1409 4.4946
Cl 2.2291 5.4771 1.3821
Cl 5.4771 4.4433 1.3821
Cl 1.1953 2.2291 1.3821
Cl 1.1071 2.1409 4.4946
CELL_PARAMETERS angstrom
6.6724 0.0000 0.0000
0.0000 6.6724 0.0000
-3.3362 -3.3362 5.8766

---

[10]
! Ti2VCr (GGA-PBE, relaxed); values from VASP
! * energy above the most stable polymorph in this dataset: 414 meV/atom
! * space-group type: I-42d
! * energy of formation: 0.50 eV/atom
&SYSTEM
  ibrav = 0, nat = 8, ntyp = 3
/
ATOMIC_SPECIES
Cr 52.00 Cr.upf
V 50.94 V.upf
Ti 47.87 Ti.upf
ATOMIC_POSITIONS angstrom
Cr 0.0000 0.0000 0.0000
Cr -1.2735 3.9665 6.3814
V -1.2917 0.9000 4.4772
V -0.1249 -0.4727 7.6051
Ti -1.2778 3.3859 4.0454
Ti -0.0672 -1.1890 5.1865
Ti -0.0782 1.9903 7.0596
Ti -1.3735 2.8004 11.6816
CELL_PARAMETERS angstrom
-2.4403 5.3392 3.2534
-0.1430 -3.5392 5.7009
1.1850 1.6938 5.0321

---

[11]
! CsNbSe4 (GGA-PBE, relaxed); values from VASP
! * energy above the most stable polymorph in this dataset: 17 meV/atom
! * space-group type: C2/m
! * formation energy (no corrections): -682 meV per atom
&SYSTEM
  ibrav = 0, nat = 12, ntyp = 3
/
ATOMIC_SPECIES
Cs 132.91 Cs.upf
Nb 92.91 Nb.upf
Se 78.96 Se.upf
ATOMIC_POSITIONS angstrom
Cs 4.0725 4.0594 5.5121
Cs 0.8011 0.0000 3.1087
Nb 1.5343 4.0594 0.4598
Nb 3.3392 0.0000 8.1610
Se 1.3486 4.0594 3.0545
Se 1.4923 -1.6019 6.7160
Se 0.0000 1.9661 0.0000
Se 3.3812 2.4576 1.9047
Se 3.5249 0.0000 5.5662
Se 3.3812 5.6613 1.9047
Se 0.0000 6.1528 0.0000
Se 1.4923 1.6019 6.7160
CELL_PARAMETERS angstrom
5.8732 0.0000 0.5676
0.0000 8.1189 0.0000
-0.9997 -4.0594 8.0531

---

[12]
! TaNb2Si (GGA-PBE, relaxed); values from VASP
! * space-group type: I-42d
! * formation energy (no corrections): 334 meV per atom
&SYSTEM
  ibrav = 0, nat = 8, ntyp = 3
/
ATOMIC_SPECIES
Nb 92.91 Nb.upf
Si 28.09 Si.upf
Ta 180.95 Ta.upf
ATOMIC_POSITIONS angstrom
Nb -3.6555 1.5510 -4.0959
Nb -2.1237 -3.0389 -4.8850
Nb -5.1509 -1.6988 -6.5344
Nb -7.4697 -1.7301 -10.8539
Si -2.3585 -0.5174 -4.7772
Si -3.6455 -3.7215 -6.7936
Ta 0.0000 0.0000 0.0000
Ta -5.5544 1.2631 -6.3910
CELL_PARAMETERS angstrom
-4.2674 4.4672 -4.3747
-0.4497 -5.5020 -5.1797
-4.4829 -1.4236 -3.6302

---

Volume for every record listed, in sequence, given in Å³ per atom: 30.28 20.71 17.74 27.13 18.49 20.73 22.47 15.41 23.78 14.97 32.38 18.47.